1.
! Ba2ZrW, optimized geometry, DFT PBE-GGA; values from VASP
! calculated volume: 115.4 Å³ per cell
! energy relative to the elements: 526 kJ/mol of formula units
! electronic total energy: -4.97 eV/atom
! distance to the lowest polymorph of the same formula: 71.5 kJ per mole of atoms
&SYSTEM
  ibrav = 0, nat = 4, ntyp = 3
/
ATOMIC_SPECIES
Ba 137.33 Ba.upf
W 183.84 W.upf
Zr 91.22 Zr.upf
CELL_PARAMETERS angstrom
-6.9665 -10.1368 -2.2421
-4.6001 -10.7465 -4.4345
-4.2289 -11.6922 -1.3126
ATOMIC_POSITIONS crystal
Ba 0.9922 0.9922 0.9922
Ba 0.5078 0.5078 0.5078
W 0.2500 0.2500 0.2500
Zr 0.7500 0.7500 0.7500

---

2.
! BaZrW2, optimized geometry, DFT PBE-GGA; values from VASP
! calculated volume: 84.5 Å³ per cell
! energy relative to the elements: 487 kJ/mol of formula units
! electronic total energy: -7.83 eV/atom
! distance to the lowest polymorph of the same formula: 67.1 kJ per mole of atoms
&SYSTEM
  ibrav = 0, nat = 4, ntyp = 3
/
ATOMIC_SPECIES
Ba 137.33 Ba.upf
W 183.84 W.upf
Zr 91.22 Zr.upf
CELL_PARAMETERS angstrom
6.0899 -0.0024 -0.0007
3.2724 5.1359 0.0007
-4.1345 -3.5637 2.7005
ATOMIC_POSITIONS crystal
Ba 0.2500 0.7500 0.5000
W 0.9905 0.9905 0.0000
W 0.5095 0.5095 0.0000
Zr 0.7500 0.2500 0.5000

---

Question: The highest distance to the lowest polymorph of the same formula belongs to which entry?
Answer: Ba2ZrW